Record 1
TaV2Re PBE optimized geometry; energy of formation = -0.21 eV/atom; size of the total moment = 0.00 μB/f.u.; calculated volume = 14.9 Å³ per atom; N(E_F) = 3.2 states/eV per cell; energy above the most stable polymorph in this dataset = 0.000 eV/f.u.; space group = P4/mmm (123)
1.0
3.077 0.000 0.000
0.000 3.077 0.000
0.000 0.000 6.282
Ta V Re
1 2 1
Cartesian
0.000 0.000 0.000
1.539 1.539 1.645
1.539 1.539 4.637
0.000 0.000 3.141

***

Record 2
AcPmSbPd PBE optimized geometry; size of the total moment = 0.94 μB/f.u.; calculated volume = 28.7 Å³ per atom; N(E_F) = 3.4 states/eV per cell; uncorrected formation energy = -71 kJ/mol of atoms; space group = F-43m (216)
1.0
0.000 3.859 3.859
3.859 0.000 3.859
3.859 3.859 0.000
Ac Pm Sb Pd
1 1 1 1
Cartesian
0.000 0.000 0.000
3.859 3.859 3.859
1.929 1.929 1.929
5.788 5.788 5.788

***

Record 3
Hg3Ir PBE optimized geometry; energy of formation = 0.45 eV/atom; size of the total moment = 0.00 μB/f.u.; calculated volume = 19.6 Å³ per atom; N(E_F) = 2.6 states/eV per cell; energy above the most stable polymorph in this dataset = 0.675 eV/f.u.; space group = I4/mmm (139)
1.0
-2.118 2.118 8.734
2.118 -2.118 8.734
2.118 2.118 -8.734
Hg Ir
6 2
Cartesian
2.118 0.000 0.000
0.000 0.000 2.219
2.118 0.000 4.367
0.000 2.118 0.000
0.000 2.118 4.367
0.000 0.000 15.250
0.000 0.000 6.699
0.000 0.000 10.769

***

Record 4
Al3PSe PBE optimized geometry; size of the total moment = 0.00 μB/f.u.; calculated volume = 21.7 Å³ per atom; N(E_F) = 2.4 states/eV per cell; energy above the most stable polymorph in this dataset = 0.000 eV/f.u.; uncorrected formation energy = 28 kJ/mol of atoms; space group = Pm-3m (221)
1.0
4.772 0.000 0.000
0.000 4.772 0.000
0.000 0.000 4.772
Al P Se
3 1 1
Cartesian
0.000 0.000 2.386
0.000 2.386 0.000
2.386 0.000 0.000
0.000 0.000 0.000
2.386 2.386 2.386